1.
A relaxed Pm6Nd2Y3Tm crystal. Source: Alexandria via LeMat-Bulk, functional GGA-PBE.

## Properties
Crystal system: monoclinic
Formation energy from the elements, meV/atom: 13
Calculated density, g/cm3: 6.571
Total DFT energy (no corrections), eV/atom: -5.15

Unit cell a=6.282 b=10.880 c=11.972 alpha=90.00 beta=100.06 gamma=90.00
Space group C2/m (No. 12)
Asymmetric unit:
Pm 0.248 0.000 0.248
Pm 0.250 0.166 0.751
Nd 0.000 0.333 0.500
Y 0.000 0.166 0.000
Y 0.000 0.500 0.000
Tm 0.000 0.000 0.500


2.
A relaxed Pr7Sm2Tm crystal. Source: Alexandria via LeMat-Bulk, functional GGA-PBE.

## Properties
Crystal system: orthorhombic
Formation energy from the elements, meV/atom: 614
Calculated density, g/cm3: 5.766
Total DFT energy (no corrections), eV/atom: -4.12

Unit cell a=8.856 b=16.972 c=5.580 alpha=90.00 beta=90.00 gamma=90.00
Space group Cmmm (No. 65)
Asymmetric unit:
Pr 0.000 0.000 0.000
Pr 0.000 0.285 0.500
Pr 0.180 0.390 0.000
Sm 0.000 0.205 0.000
Tm 0.000 0.500 0.500


3.
A relaxed CaGe3As crystal. Source: Alexandria via LeMat-Bulk, functional GGA-PBE.

## Properties
Crystal system: cubic
Formation energy from the elements, meV/atom: 289
Calculated density, g/cm3: 4.195
Total DFT energy (no corrections), eV/atom: -3.81
Offset from the most stable computed form, meV per atom: 0

Unit cell a=5.089 b=5.089 c=5.089 alpha=90.00 beta=90.00 gamma=90.00
Space group Pm-3m (No. 221)
Asymmetric unit:
Ca 0.000 0.000 0.000
Ge 0.000 0.500 0.500
As 0.500 0.500 0.500